(1)
The following is a PBE calculation of crystalline KTa2OsO at its relaxed geometry, from Alexandria via LeMat-Bulk.

Values from the calculation:
crystal system = tetragonal
VASP energy = -6.65 eV/atom
uncorrected formation energy = 1547 meV per atom

abc: 4.7551 4.7551 6.3250
angles: 90.00 90.00 90.00
Space group P4/mmm (No. 123)
Asymmetric unit:
K 0.0000 0.0000 0.0000 x1
Ta 0.0000 0.5000 0.5000 x2
Os 0.0000 0.0000 0.5000 x1
O 0.5000 0.5000 0.0000 x1

***

(2)
The following is a PBE calculation of crystalline K2TaOs3O12 at its relaxed geometry, from Alexandria via LeMat-Bulk.

Values from the calculation:
crystal system = trigonal
VASP energy = -7.48 eV/atom
uncorrected formation energy = -1518 meV per atom

abc: 7.2235 7.2235 18.1105
angles: 90.00 90.00 120.00
Space group R-3m (No. 166, hexagonal axes)
Asymmetric unit:
K 0.0000 0.0000 0.1357 x6
Ta 0.0000 0.0000 0.5000 x3
Os 0.0000 0.5000 0.0000 x9
O 0.0672 0.5336 0.1058 x18
O 0.0812 0.5406 0.3479 x18

***

(3)
The following is a PBE calculation of crystalline K2TaOsO6 at its relaxed geometry, from Alexandria via LeMat-Bulk.

Values from the calculation:
crystal system = cubic
VASP energy = -7.45 eV/atom
uncorrected formation energy = -1942 meV per atom

abc: 7.9562 7.9562 7.9562
angles: 90.00 90.00 90.00
Space group Fm-3m (No. 225)
Asymmetric unit:
K 0.2500 0.2500 0.2500 x8
Ta 0.0000 0.0000 0.0000 x4
Os 0.0000 0.0000 0.5000 x4
O 0.0000 0.0000 0.2522 x24

***

(4)
The following is a PBE calculation of crystalline K2TbOsO6 at its relaxed geometry, from Alexandria via LeMat-Bulk.

Values from the calculation:
crystal system = cubic
VASP energy = -6.71 eV/atom
uncorrected formation energy = -1932 meV per atom

abc: 8.3451 8.3451 8.3451
angles: 90.00 90.00 90.00
Space group Fm-3m (No. 225)
Asymmetric unit:
K 0.2500 0.2500 0.2500 x8
Tb 0.0000 0.0000 0.0000 x4
Os 0.0000 0.0000 0.5000 x4
O 0.0000 0.0000 0.2718 x24

***

(5)
The following is a PBE calculation of crystalline KTbOsO6 at its relaxed geometry, from Alexandria via LeMat-Bulk.

Values from the calculation:
crystal system = trigonal
VASP energy = -6.97 eV/atom
uncorrected formation energy = -1781 meV per atom

abc: 5.6438 5.6438 5.7735
angles: 90.00 90.00 120.00
Space group P312 (No. 149)
Asymmetric unit:
K 0.0000 0.0000 0.0000 x1
Tb 0.3333 0.6667 0.5000 x1
Os 0.6667 0.3333 0.5000 x1
O 0.4073 0.0504 0.6876 x6

***

(6)
The following is a PBE calculation of crystalline K2Tb2OsO6 at its relaxed geometry, from Alexandria via LeMat-Bulk.

Values from the calculation:
crystal system = monoclinic
VASP energy = -6.94 eV/atom
uncorrected formation energy = -2172 meV per atom

abc: 5.8250 10.0207 6.5877
angles: 90.00 105.33 90.00
Space group C2/m (No. 12)
Asymmetric unit:
K 0.0000 0.1587 0.0000 x4
Tb 0.0000 0.3370 0.5000 x4
Os 0.0000 0.0000 0.5000 x2
O 0.2002 0.1549 0.6707 x8
O 0.2475 0.5000 0.6791 x4